[1]
Nd4BiN2: relaxed, PBE.

a = 3.962 Å, b = 6.619 Å, c = 13.128 Å
α = 90.00°, β = 90.00°, γ = 107.41°
Positions (direct):
Nd 0.760 0.521 0.101
Nd 0.760 0.521 0.399
Nd 0.240 0.479 0.899
Nd 0.240 0.479 0.601
Nd 0.914 0.827 0.750
Nd 0.086 0.173 0.250
Nd 0.500 0.000 0.000
Nd 0.500 0.000 0.500
Bi 0.607 0.215 0.750
Bi 0.393 0.785 0.250
N 0.139 0.279 0.441
N 0.861 0.721 0.941
N 0.139 0.279 0.059
N 0.861 0.721 0.559

Values from the calculation:
Total magnetization, μB per cell: 0.7
D(E_F), states/eV per atom: 0.700
Formation energy without anion corrections, kJ/mol of formula units: -659
Volume, Å³/cell: 328.5


[2]
Nd4Bi3N2: relaxed, PBE.

a = 4.011 Å, b = 7.395 Å, c = 9.717 Å
α = 113.28°, β = 90.00°, γ = 105.74°
Positions (direct):
Nd 0.704 0.408 0.146
Nd 0.296 0.592 0.854
Nd 0.866 0.732 0.569
Nd 0.134 0.268 0.431
Bi 0.589 0.178 0.745
Bi 0.000 0.000 0.000
Bi 0.411 0.822 0.255
N 0.700 0.399 0.370
N 0.300 0.601 0.630

Values from the calculation:
Total magnetization, μB per cell: 0.0
D(E_F), states/eV per atom: 0.323
Formation energy without anion corrections, kJ/mol of formula units: -812
Volume, Å³/cell: 253.0


[3]
Nd4Bi2N: relaxed, PBE.

a = 4.036 Å, b = 8.574 Å, c = 8.489 Å
α = 134.30°, β = 103.75°, γ = 90.00°
Positions (direct):
Nd 0.947 0.209 0.894
Nd 0.053 0.791 0.106
Nd 0.642 0.231 0.284
Nd 0.358 0.769 0.716
Bi 0.660 0.647 0.321
Bi 0.340 0.353 0.679
N 0.000 0.000 0.000

Values from the calculation:
Total magnetization, μB per cell: 0.0
D(E_F), states/eV per atom: 0.784
Formation energy without anion corrections, kJ/mol of formula units: -578
Volume, Å³/cell: 198.3